Material: K3SrCe2O6
Method: DFT, PBE
State: optimized geometry

The calculation puts the raw formation energy at -2590 meV/atom. As for the space-group type: No. 12.

```
K3SrCe2O6
1.0
3.162 -5.475 0.000
3.162 5.475 0.000
-2.118 0.000 6.274
K Sr Ce O
3 1 2 6
Cartesian
0.000 0.000 0.000
3.162 1.806 0.000
3.162 -1.806 0.000
2.103 0.000 3.137
2.103 3.649 3.137
2.103 -3.649 3.137
0.971 1.960 1.944
-0.160 0.000 4.336
0.971 -1.960 1.944
3.234 1.960 4.330
4.366 0.000 1.939
3.234 -1.960 4.330
```

---

Material: La3Nd3Dy8
Method: DFT, PBE
State: optimized geometry

The formation energy comes out at 0.10 eV per atom. As for the space-group type: No. 12.

```
La3Nd3Dy8
1.0
6.151 -7.683 0.000
6.151 7.683 0.000
-2.672 0.000 5.077
La Nd Dy
3 3 8
Cartesian
0.000 0.000 0.000
4.815 4.806 2.539
4.815 -4.806 2.539
0.580 0.000 3.556
6.151 0.000 0.000
9.049 0.000 1.522
1.920 3.375 4.258
3.277 1.570 1.730
7.709 3.375 0.819
3.277 -1.570 1.730
6.353 1.570 3.347
1.920 -3.375 4.258
6.353 -1.570 3.347
7.709 -3.375 0.819
```

---

Material: Cs3U3SnSe8
Method: DFT, PBE
State: optimized geometry

The calculation puts the raw formation energy at -1149 meV/atom. As for the space-group type: No. 166.

```
Cs3U3SnSe8
1.0
4.294 2.479 8.394
-4.294 2.479 8.394
0.000 -4.958 8.394
Cs U Sn Se
3 3 1 8
Cartesian
-2.147 -1.240 8.394
-2.147 1.240 16.788
0.000 2.479 8.394
-4.294 0.000 12.591
-2.147 1.240 4.197
2.147 1.240 4.197
0.000 0.000 12.591
-2.253 -1.301 14.126
0.000 0.000 5.749
0.000 -2.601 11.055
-2.253 1.301 11.055
2.253 -1.301 14.126
0.000 2.601 14.126
0.000 0.000 19.433
2.253 1.301 11.055
```

---

Material: KS4
Method: DFT, PBE
State: optimized geometry

The calculation puts the raw formation energy at 1515 meV/atom. Its energy above the most stable polymorph in this dataset is 1.762 eV/atom. As for the space-group type: No. 221.

```
KS4
1.0
5.973 0.000 0.000
0.000 5.973 0.000
0.000 0.000 5.973
K S
1 4
Cartesian
0.000 0.000 0.000
0.000 0.000 2.986
0.000 2.986 0.000
2.986 0.000 0.000
2.986 2.986 2.986
```